VASP calculation (GGA-PBE) on a relaxed LiNbAs2 crystal.

Properties
Energy of formation from the pure elements   -0.484 eV/atom
ΔE to the lowest computed polymorph   0.13 eV per formula unit
DOS(E_F)   1.472 states/eV/f.u.
Calculated volume   74 Å³/cell
Theoretical density   5.6 Mg/m³

Structure (POSCAR):
```
LiNbAs2
1.0
1.681 0.970 7.552
-1.681 0.970 7.552
0.000 -1.941 7.552
Li Nb As
1 1 2
Cartesian
0.000 0.000 0.000 Li
0.000 0.000 11.328 Nb
0.000 0.000 5.581 As
0.000 0.000 17.074 As
```